Record 1
A plane-wave DFT calculation with PBE-GGA was carried out for crystalline Li4Hg5Bi2 at its relaxed geometry.

Cell: 4.7274 9.9862 5.9272 Å, 77.28 113.50 90.00°
Fractional coordinates of all 11 atoms:
Li 0.7262 0.7335 0.4523
Li 0.0174 0.1628 0.0348
Li 0.2738 0.2665 0.5477
Li 0.9826 0.8372 0.9652
Hg 0.1690 0.5748 0.3380
Hg 0.2133 0.9165 0.4265
Hg 0.5000 0.0000 0.0000
Hg 0.7867 0.0835 0.5735
Hg 0.8310 0.4252 0.6620
Bi 0.4552 0.6690 0.9104
Bi 0.5448 0.3310 0.0896

Crystal system: monoclinic
SG: C2/m (12)


Record 2
A plane-wave DFT calculation with PBE-GGA was carried out for crystalline Li2Hg3Bi at its relaxed geometry.

Cell: 3.3391 3.3391 11.9770 Å, 90.00 90.00 90.00°
Fractional coordinates of all 6 atoms:
Hg 0.0000 0.0000 0.2837
Hg 0.0000 0.0000 0.7163
Hg 0.0000 0.0000 0.0000
Bi 0.5000 0.5000 0.5000
Li 0.5000 0.5000 0.1471
Li 0.5000 0.5000 0.8529

Crystal system: tetragonal
Polymorph energy (0 for the lowest one) in kJ per mole of atoms: 0.0
SG: P4/mmm (123)


Record 3
A plane-wave DFT calculation with PBE-GGA was carried out for crystalline Li2Hg8Bi at its relaxed geometry.

Cell: 5.5829 5.2957 9.9716 Å, 90.02 93.44 106.02°
Fractional coordinates of all 11 atoms:
Hg 0.9832 0.5009 0.1778
Hg 0.4913 0.4951 0.3216
Hg 0.5000 0.0000 0.5000
Hg 0.5066 0.9945 0.1622
Hg 0.5087 0.5049 0.6784
Hg 0.0000 0.5000 0.5000
Hg 0.0168 0.4991 0.8222
Hg 0.4934 0.0055 0.8378
Bi 0.0000 0.0000 0.0000
Li 0.9982 0.9996 0.3248
Li 0.0018 0.0004 0.6752

Crystal system: triclinic
SG: P-1 (2)


Record 4
A plane-wave DFT calculation with PBE-GGA was carried out for crystalline LiHgBi2 at its relaxed geometry.

Cell: 5.2456 5.2456 7.9557 Å, 70.75 70.75 60.00°
Fractional coordinates of all 4 atoms:
Hg 0.0000 0.0000 0.0000
Bi 0.1381 0.1381 0.5858
Bi 0.8619 0.8619 0.4142
Li 0.5000 0.5000 0.5000

Crystal system: trigonal
SG: R-3m (166)


Record 5
A plane-wave DFT calculation with PBE-GGA was carried out for crystalline Li2Hg2Bi at its relaxed geometry.

Cell: 4.9507 4.9502 5.6182 Å, 90.07 90.06 117.01°
Fractional coordinates of all 5 atoms:
Bi 0.0000 0.0000 0.0000
Li 0.4994 0.4994 0.7514
Li 0.5006 0.5006 0.2486
Hg 0.8178 0.1822 0.5000
Hg 0.1822 0.8178 0.5000

Crystal system: monoclinic
Polymorph energy (0 for the lowest one) in kJ per mole of atoms: 11.7
SG: C2/m (12)


Record 6
A plane-wave DFT calculation with PBE-GGA was carried out for crystalline Li6HgBi5 at its relaxed geometry.

Cell: 5.2489 6.7928 8.8660 Å, 90.00 61.32 90.00°
Fractional coordinates of all 12 atoms:
Bi 0.0000 0.5000 0.0000
Bi 0.6611 0.5000 0.6653
Bi 0.3419 0.0000 0.3242
Bi 0.6581 0.0000 0.6758
Bi 0.3389 0.5000 0.3347
Li 0.8369 0.7559 0.3296
Li 0.5000 0.2490 0.0000
Li 0.1631 0.7559 0.6704
Li 0.1631 0.2441 0.6704
Li 0.5000 0.7510 0.0000
Li 0.8369 0.2441 0.3296
Hg 0.0000 0.0000 0.0000

Crystal system: monoclinic
SG: P2/m (10)


One value per record, in order, for volume: 249.1, 133.5, 282.8, 175.3, 122.7, 277.3 Å³/cell.
One value per record, in order, for size of the total moment: 0.00, 0.00, 0.00, 0.00, 0.00, 0.00 Bohr magnetons per cell.
One value per record, in order, for ΔH_f (0 K): -0.241, -0.246, -0.092, 0.051, -0.171, -0.383 eV/atom.